Entry 1:
NbCdPdRuI: optimized geometry, GGA-PBE.

Values from the calculation:
calculated total energy: -25.98 eV for the cell shown
ΔE_f (raw): 0.2050 eV/atom
excess energy over the best structure of this formula in the dataset: 196 meV per atom

Cell and atoms, written as POSCAR:
```
NbCdPdRuI
1.0
3.462 0.000 0.000
-1.729 4.563 0.000
-0.046 -1.718 8.558
Nb Cd Pd Ru I
1 1 1 1 1
direct
0.000 0.000 0.000 Nb
0.749 0.510 0.567 Cd
0.676 0.356 0.878 Pd
0.376 0.758 0.821 Ru
0.487 0.968 0.268 I
```

=====

Entry 2:
SiTe2RuN: optimized geometry, GGA-PBE.

Values from the calculation:
calculated total energy: -26.75 eV for the cell shown
ΔE_f (raw): 0.5122 eV/atom
excess energy over the best structure of this formula in the dataset: 0 meV per atom

Cell and atoms, written as POSCAR:
```
SiTe2RuN
1.0
5.438 0.000 0.000
0.000 5.438 0.000
0.000 0.000 3.643
Si Te Ru N
1 2 1 1
direct
0.000 0.000 0.000 Si
0.000 0.500 0.500 Te
0.500 0.000 0.500 Te
0.500 0.500 0.500 Ru
0.500 0.500 0.000 N
```

=====

Entry 3:
Tc4OsRu: optimized geometry, GGA-PBE.

Values from the calculation:
calculated total energy: -59.63 eV for the cell shown
excess energy over the best structure of this formula in the dataset: 453 meV per atom

Cell and atoms, written as POSCAR:
```
Tc4OsRu
1.0
0.000 3.557 3.557
3.557 0.000 3.557
3.557 3.557 0.000
Tc Os Ru
4 1 1
direct
0.125 0.125 0.125 Tc
0.125 0.125 0.624 Tc
0.125 0.624 0.125 Tc
0.624 0.125 0.125 Tc
0.750 0.750 0.750 Os
0.500 0.500 0.500 Ru
```